[1]
# RbCd3Ge, optimized geometry, DFT PBE-GGA
data_RbCd3Ge
_chemical_formula_sum 'Rb1 Cd3 Ge1'
_cell_length_a 6.7598
_cell_length_b 6.7598
_cell_length_c 6.7598
_cell_angle_alpha 90.00
_cell_angle_beta 90.00
_cell_angle_gamma 90.00
_space_group_name_H-M_alt 'P m -3 m'
_space_group_IT_number 221
_space_group_name_Hall '-P 4 2 3'
loop_
_atom_site_label
_atom_site_type_symbol
_atom_site_fract_x
_atom_site_fract_y
_atom_site_fract_z
Rb1 Rb 0.0000 0.0000 0.0000
Cd1 Cd 0.0000 0.0000 0.5000
Ge1 Ge 0.5000 0.5000 0.5000
# * energy above the most stable polymorph in this dataset: 849.4 meV/atom
# * formation energy from the elements: 0.97 eV/atom
# * total DFT energy (no corrections): -0.70 eV/atom

***

[2]
# RbCd3Ge, optimized geometry, DFT PBE-GGA
data_RbCd3Ge
_chemical_formula_sum 'Rb1 Cd3 Ge1'
_cell_length_a 5.5956
_cell_length_b 5.5956
_cell_length_c 5.5956
_cell_angle_alpha 90.00
_cell_angle_beta 90.00
_cell_angle_gamma 90.00
_space_group_name_H-M_alt 'P m -3 m'
_space_group_IT_number 221
_space_group_name_Hall '-P 4 2 3'
loop_
_atom_site_label
_atom_site_type_symbol
_atom_site_fract_x
_atom_site_fract_y
_atom_site_fract_z
Rb1 Rb 0.0000 0.0000 0.0000
Cd1 Cd 0.0000 0.5000 0.5000
Ge1 Ge 0.5000 0.5000 0.5000
# * energy above the most stable polymorph in this dataset: 0.0 meV/atom
# * formation energy from the elements: 0.12 eV/atom
# * total DFT energy (no corrections): -1.55 eV/atom

***

[3]
# RbCd11Ge, optimized geometry, DFT PBE-GGA
data_RbCd11Ge
_chemical_formula_sum 'Rb2 Cd22 Ge2'
_cell_length_a 5.9848
_cell_length_b 14.5557
_cell_length_c 7.8581
_cell_angle_alpha 90.00
_cell_angle_beta 111.72
_cell_angle_gamma 90.00
_space_group_name_H-M_alt 'C 1 2/m 1'
_space_group_IT_number 12
loop_
_space_group_symop_operation_xyz
'x,y,z'
'-x,-y,-z'
'-x,y,-z'
'x,-y,z'
'x+1/2,y+1/2,z'
'-x+1/2,-y+1/2,-z'
'-x+1/2,y+1/2,-z'
'x+1/2,-y+1/2,z'
loop_
_atom_site_label
_atom_site_type_symbol
_atom_site_fract_x
_atom_site_fract_y
_atom_site_fract_z
Rb1 Rb 0.0000 0.0000 0.0000
Cd1 Cd 0.0000 0.0000 0.5000
Cd2 Cd 0.1080 0.3903 0.2213
Cd3 Cd 0.1800 0.1775 0.3566
Cd4 Cd 0.2500 0.2500 0.0000
Ge1 Ge 0.0000 0.5000 0.5000
# * formation energy from the elements: 0.01 eV/atom
# * total DFT energy (no corrections): -1.20 eV/atom

***

[4]
# Rb2Cd4Ge, optimized geometry, DFT PBE-GGA
data_Rb2Cd4Ge
_chemical_formula_sum 'Rb4 Cd8 Ge2'
_cell_length_a 5.2820
_cell_length_b 5.2820
_cell_length_c 20.0721
_cell_angle_alpha 90.00
_cell_angle_beta 90.00
_cell_angle_gamma 90.00
_space_group_name_H-M_alt 'I 4/m m m'
_space_group_IT_number 139
_space_group_name_Hall '-I 4 2'
loop_
_atom_site_label
_atom_site_type_symbol
_atom_site_fract_x
_atom_site_fract_y
_atom_site_fract_z
Rb1 Rb 0.0000 0.0000 0.1632
Cd1 Cd 0.0000 0.0000 0.3526
Cd2 Cd 0.0000 0.5000 0.0000
Ge1 Ge 0.0000 0.0000 0.5000
# * formation energy from the elements: 0.14 eV/atom
# * total DFT energy (no corrections): -1.32 eV/atom

***

[5]
# RbCd2Ge2, optimized geometry, DFT PBE-GGA
data_RbCd2Ge2
_chemical_formula_sum 'Rb2 Cd4 Ge4'
_cell_length_a 4.7939
_cell_length_b 4.7939
_cell_length_c 11.3927
_cell_angle_alpha 90.00
_cell_angle_beta 90.00
_cell_angle_gamma 90.00
_space_group_name_H-M_alt 'I 4/m m m'
_space_group_IT_number 139
_space_group_name_Hall '-I 4 2'
loop_
_atom_site_label
_atom_site_type_symbol
_atom_site_fract_x
_atom_site_fract_y
_atom_site_fract_z
Rb1 Rb 0.0000 0.0000 0.0000
Cd1 Cd 0.0000 0.5000 0.2500
Ge1 Ge 0.0000 0.0000 0.3873
# * energy above the most stable polymorph in this dataset: 0.0 meV/atom
# * formation energy from the elements: -0.07 eV/atom
# * total DFT energy (no corrections): -2.48 eV/atom

***

[6]
# RbCd3Ge2, optimized geometry, DFT PBE-GGA
data_RbCd3Ge2
_chemical_formula_sum 'Rb4 Cd12 Ge8'
_cell_length_a 18.9855
_cell_length_b 4.6000
_cell_length_c 8.1274
_cell_angle_alpha 90.00
_cell_angle_beta 93.92
_cell_angle_gamma 90.00
_space_group_name_H-M_alt 'C 1 2/m 1'
_space_group_IT_number 12
loop_
_space_group_symop_operation_xyz
'x,y,z'
'-x,-y,-z'
'-x,y,-z'
'x,-y,z'
'x+1/2,y+1/2,z'
'-x+1/2,-y+1/2,-z'
'-x+1/2,y+1/2,-z'
'x+1/2,-y+1/2,z'
loop_
_atom_site_label
_atom_site_type_symbol
_atom_site_fract_x
_atom_site_fract_y
_atom_site_fract_z
Rb1 Rb 0.0924 0.0000 0.2378
Cd1 Cd 0.1012 0.0000 0.7376
Cd2 Cd 0.1876 0.5000 0.9220
Cd3 Cd 0.1959 0.5000 0.5436
Ge1 Ge 0.0513 0.5000 0.6063
Ge2 Ge 0.2487 0.5000 0.2360
# * formation energy from the elements: 0.01 eV/atom
# * total DFT energy (no corrections): -2.15 eV/atom

***

[7]
# RbCdGe2, optimized geometry, DFT PBE-GGA
data_RbCdGe2
_chemical_formula_sum 'Rb1 Cd1 Ge2'
_cell_length_a 3.7730
_cell_length_b 3.7730
_cell_length_c 7.7107
_cell_angle_alpha 90.00
_cell_angle_beta 90.00
_cell_angle_gamma 90.00
_space_group_name_H-M_alt 'P 4/m m m'
_space_group_IT_number 123
_space_group_name_Hall '-P 4 2'
loop_
_atom_site_label
_atom_site_type_symbol
_atom_site_fract_x
_atom_site_fract_y
_atom_site_fract_z
Rb1 Rb 0.0000 0.0000 0.0000
Cd1 Cd 0.0000 0.0000 0.5000
Ge1 Ge 0.5000 0.5000 0.3306
# * formation energy from the elements: 0.08 eV/atom
# * total DFT energy (no corrections): -2.70 eV/atom

***

[8]
# RbCdGe2, optimized geometry, DFT PBE-GGA
data_RbCdGe2
_chemical_formula_sum 'Rb4 Cd4 Ge8'
_cell_length_a 5.3057
_cell_length_b 5.3057
_cell_length_c 19.2825
_cell_angle_alpha 90.00
_cell_angle_beta 90.00
_cell_angle_gamma 90.00
_space_group_name_H-M_alt 'I 41/a m d'
_space_group_IT_number 141
loop_
_space_group_symop_operation_xyz
'x,y,z'
'-x,-y,-z'
'-y+1/4,x+3/4,z+1/4'
'y+1/4,-x+3/4,-z+1/4'
'-x+1/2,-y,z+1/2'
'x+1/2,y,-z+1/2'
'y+1/4,-x+1/4,z+3/4'
'-y+1/4,x+1/4,-z+3/4'
'x,-y,-z'
'-x,y,z'
'-y+1/4,-x+1/4,-z+3/4'
'y+1/4,x+1/4,z+3/4'
'-x+1/2,y,-z+1/2'
'x+1/2,-y,z+1/2'
'y+1/4,x+3/4,-z+1/4'
'-y+1/4,-x+3/4,z+1/4'
'x+1/2,y+1/2,z+1/2'
'-x+1/2,-y+1/2,-z+1/2'
'-y+3/4,x+1/4,z+3/4'
'y+3/4,-x+1/4,-z+3/4'
'-x,-y+1/2,z'
'x,y+1/2,-z'
'y+3/4,-x+3/4,z+1/4'
'-y+3/4,x+3/4,-z+1/4'
'x+1/2,-y+1/2,-z+1/2'
'-x+1/2,y+1/2,z+1/2'
'-y+3/4,-x+3/4,-z+1/4'
'y+3/4,x+3/4,z+1/4'
'-x,y+1/2,-z'
'x,-y+1/2,z'
'y+3/4,x+1/4,-z+3/4'
'-y+3/4,-x+1/4,z+3/4'
loop_
_atom_site_label
_atom_site_type_symbol
_atom_site_fract_x
_atom_site_fract_y
_atom_site_fract_z
Rb1 Rb 0.0000 0.2500 0.3750
Cd1 Cd 0.0000 0.2500 0.8750
Ge1 Ge 0.0000 0.0000 0.0000
# * formation energy from the elements: 0.14 eV/atom
# * total DFT energy (no corrections): -2.64 eV/atom

***

[9]
# Rb2CdGe2, optimized geometry, DFT PBE-GGA
data_Rb2CdGe2
_chemical_formula_sum 'Rb4 Cd2 Ge4'
_cell_length_a 7.6802
_cell_length_b 7.6802
_cell_length_c 5.6964
_cell_angle_alpha 90.00
_cell_angle_beta 90.00
_cell_angle_gamma 90.00
_space_group_name_H-M_alt 'P 4/m b m'
_space_group_IT_number 127
_space_group_name_Hall '-P 4 2ab'
loop_
_atom_site_label
_atom_site_type_symbol
_atom_site_fract_x
_atom_site_fract_y
_atom_site_fract_z
Rb1 Rb 0.1908 0.3092 0.0000
Cd1 Cd 0.0000 0.0000 0.5000
Ge1 Ge 0.1115 0.6115 0.5000
# * formation energy from the elements: 0.08 eV/atom
# * total DFT energy (no corrections): -2.34 eV/atom

***

[10]
# RbCdGeRh, optimized geometry, DFT PBE-GGA
data_RbCdGeRh
_chemical_formula_sum 'Rb2 Cd2 Ge2 Rh2'
_cell_length_a 4.1843
_cell_length_b 4.1843
_cell_length_c 13.4716
_cell_angle_alpha 90.00
_cell_angle_beta 90.00
_cell_angle_gamma 90.00
_space_group_name_H-M_alt 'P 4/n m m'
_space_group_IT_number 129
loop_
_space_group_symop_operation_xyz
'x,y,z'
'-x,-y,-z'
'-y+1/2,x,z'
'y+1/2,-x,-z'
'-x+1/2,-y+1/2,z'
'x+1/2,y+1/2,-z'
'y,-x+1/2,z'
'-y,x+1/2,-z'
'x+1/2,-y,-z'
'-x+1/2,y,z'
'-y,-x,-z'
'y,x,z'
'-x,y+1/2,-z'
'x,-y+1/2,z'
'y+1/2,x+1/2,-z'
'-y+1/2,-x+1/2,z'
loop_
_atom_site_label
_atom_site_type_symbol
_atom_site_fract_x
_atom_site_fract_y
_atom_site_fract_z
Rb1 Rb 0.2500 0.2500 0.2433
Cd1 Cd 0.2500 0.7500 0.5000
Ge1 Ge 0.2500 0.2500 0.9058
Rh1 Rh 0.2500 0.7500 0.0000
# * formation energy from the elements: -0.28 eV/atom
# * total DFT energy (no corrections): -3.74 eV/atom

***

[11]
# Rb2CdGe2S6, optimized geometry, DFT PBE-GGA
data_Rb2CdGe2S6
_chemical_formula_sum 'Rb6 Cd3 Ge6 S18'
_cell_length_a 7.1208
_cell_length_b 7.1208
_cell_length_c 23.1275
_cell_angle_alpha 90.00
_cell_angle_beta 90.00
_cell_angle_gamma 120.00
_space_group_name_H-M_alt 'R -3 m'
_space_group_IT_number 166
_space_group_name_Hall '-R 3 2"'
loop_
_atom_site_label
_atom_site_type_symbol
_atom_site_fract_x
_atom_site_fract_y
_atom_site_fract_z
Rb1 Rb 0.0000 0.0000 0.2178
Cd1 Cd 0.0000 0.0000 0.0000
Ge1 Ge 0.0000 0.0000 0.4082
S1 S 0.0126 0.5063 0.7494
# * formation energy from raw total energies: -54 kJ per mole of atoms
# * total DFT energy (no corrections): -3.91 eV/atom

***

[12]
# RbCdGe2S6, optimized geometry, DFT PBE-GGA
data_RbCdGe2S6
_chemical_formula_sum 'Rb4 Cd4 Ge8 S24'
_cell_length_a 13.2747
_cell_length_b 13.9930
_cell_length_c 6.3198
_cell_angle_alpha 90.00
_cell_angle_beta 99.34
_cell_angle_gamma 90.00
_space_group_name_H-M_alt 'C 1 2/c 1'
_space_group_IT_number 15
loop_
_space_group_symop_operation_xyz
'x,y,z'
'-x,-y,-z'
'-x,y,-z+1/2'
'x,-y,z+1/2'
'x+1/2,y+1/2,z'
'-x+1/2,-y+1/2,-z'
'-x+1/2,y+1/2,-z+1/2'
'x+1/2,-y+1/2,z+1/2'
loop_
_atom_site_label
_atom_site_type_symbol
_atom_site_fract_x
_atom_site_fract_y
_atom_site_fract_z
Rb1 Rb 0.0000 0.1280 0.2500
Cd1 Cd 0.0000 0.3895 0.7500
Ge1 Ge 0.2117 0.4194 0.1427
S1 S 0.1252 0.0881 0.7844
S2 S 0.1291 0.2911 0.9990
S3 S 0.1329 0.4549 0.4373
# * formation energy from raw total energies: -39 kJ per mole of atoms
# * total DFT energy (no corrections): -3.99 eV/atom